Density functional theory data (PBE) for a geometry-optimized GaAuI6 structure.

Cell: 7.1622 7.2406 7.6274 Å, 79.51 72.94 70.11°
Closest atoms and distances in Å follow each position.
Space group P1 (No. 1)
Asymmetric unit:
Ga 0.0000 0.0000 0.0000  4 I 2.60-2.82
Au 0.3932 0.2828 0.0624  4 I 2.65-2.72
I 0.0618 0.1955 0.2727  1 Au 2.65, 1 Ga 2.93
I 0.0997 0.7354 0.7675  1 Ga 2.62
I 0.3608 0.5247 0.3027  1 Au 2.67
I 0.3835 0.0577 0.8212  1 Au 2.70, 1 Ga 2.82
I 0.7541 0.3352 0.8531  1 Au 2.72, 1 Ga 2.74
I 0.7543 0.8742 0.2844  1 Ga 2.60

Output
E (eV per atom): -2.14